(A)
The following is a DFT calculation (PBE) of an optimized crystal structure of TbPrHoHg.

extended XYZ file:
```
4
Lattice="3.6679 0.0000 0.0000 0.0000 3.6679 0.0000 0.0000 0.0000 8.8748" Properties=species:S:1:pos:R:3 pbc="T T T"
Tb 0.0000 0.0000 0.0000
Pr 1.8340 1.8340 2.5421
Ho 0.0000 0.0000 5.0637
Hg 1.8340 1.8340 6.9295
```

Computed properties:
**V**: 29.85 Å³/atom
**Crystal system**: tetragonal
**Total moment**: 0.00 Bohr magnetons per cell

=====

(B)
The following is a DFT calculation (PBE) of an optimized crystal structure of TbPrHoHg.

extended XYZ file:
```
4
Lattice="0.0000 3.8776 3.8776 3.8776 0.0000 3.8776 3.8776 3.8776 0.0000" Properties=species:S:1:pos:R:3 pbc="T T T"
Tb 0.0000 0.0000 0.0000
Pr 3.8776 3.8776 3.8776
Ho 1.9388 1.9388 1.9388
Hg 5.8165 5.8165 5.8165
```

Computed properties:
**V**: 29.15 Å³/atom
**Crystal system**: cubic
**Total moment**: 0.00 Bohr magnetons per cell

=====

Stability, lowest: (B)

=====

(A)
The following is a DFT calculation (PBE) of an optimized crystal structure of PrHoZnHg.

extended XYZ file:
```
4
Lattice="0.0000 3.7240 3.7240 3.7240 0.0000 3.7240 3.7240 3.7240 0.0000" Properties=species:S:1:pos:R:3 pbc="T T T"
Pr 0.0000 0.0000 0.0000
Ho 3.7240 3.7240 3.7240
Zn 5.5860 5.5860 5.5860
Hg 1.8620 1.8620 1.8620
```

Computed properties:
**V**: 25.82 Å³/atom
**Crystal system**: cubic
**Total moment**: 0.71 Bohr magnetons per cell

=====

(B)
The following is a DFT calculation (PBE) of an optimized crystal structure of PrHoZnHg.

extended XYZ file:
```
4
Lattice="3.6581 0.0000 0.0000 0.0000 3.6581 0.0000 0.0000 0.0000 7.6098" Properties=species:S:1:pos:R:3 pbc="T T T"
Pr 0.0000 0.0000 0.0000
Ho 0.0000 0.0000 3.5529
Zn 1.8291 1.8291 1.9260
Hg 1.8291 1.8291 5.3983
```

Computed properties:
**V**: 25.46 Å³/atom
**Crystal system**: tetragonal
**Total moment**: 0.00 Bohr magnetons per cell

=====

Stability, lowest: (A)

=====

(A)
The following is a DFT calculation (PBE) of an optimized crystal structure of Ho4HgPt.

extended XYZ file:
```
12
Lattice="7.2017 0.0000 0.0000 0.0000 7.0687 0.0000 -0.3568 0.0000 6.9891" Properties=species:S:1:pos:R:3 pbc="T T T"
Ho 0.9888 1.1257 1.2164
Ho 0.8104 2.4086 4.7110
Ho 2.3205 4.5786 0.9059
Ho 2.1421 6.0244 4.4005
Ho 4.7028 1.0443 2.5886
Ho 4.5243 2.4901 6.0832
Ho 6.0345 4.6600 2.2782
Ho 5.8561 5.9430 5.7727
Hg 3.6009 0.0000 0.0000
Hg 3.4224 3.5343 3.4946
Pt -0.1784 0.0000 3.4946
Pt 0.0000 3.5343 0.0000
```

Computed properties:
**V**: 29.65 Å³/atom
**Crystal system**: monoclinic
**Total moment**: 0.00 Bohr magnetons per cell

=====

(B)
The following is a DFT calculation (PBE) of an optimized crystal structure of Ho4HgPt.

extended XYZ file:
```
24
Lattice="0.0000 6.7854 6.7854 6.7854 0.0000 6.7854 6.7854 6.7854 0.0000" Properties=species:S:1:pos:R:3 pbc="T T T"
Ho 6.7854 6.7854 2.5288
Ho 6.7854 2.5288 6.7854
Ho 11.0420 6.7854 6.7854
Ho 5.3583 5.3583 5.3583
Ho 8.2125 8.2125 5.3583
Ho 8.2125 5.3583 8.2125
Ho 10.1781 10.1781 7.6055
Ho 10.1781 7.6055 10.1781
Ho 12.7507 10.1781 10.1781
Ho 2.5288 6.7854 6.7854
Ho 6.7854 11.0420 6.7854
Ho 6.7854 6.7854 11.0420
Ho 5.3583 8.2125 8.2125
Ho 7.6055 10.1781 10.1781
Ho 10.1781 12.7507 10.1781
Ho 10.1781 10.1781 12.7507
Hg 2.2152 2.2152 2.2152
Hg 4.5702 4.5702 2.2152
Hg 4.5702 2.2152 4.5702
Hg 2.2152 4.5702 4.5702
Pt 8.2204 5.3504 5.3504
Pt 5.3504 8.2204 5.3504
Pt 5.3504 5.3504 8.2204
Pt 8.2204 8.2204 8.2204
```

Computed properties:
**V**: 26.03 Å³/atom
**Crystal system**: cubic
**Total moment**: 0.00 Bohr magnetons per cell

=====

Stability, lowest: (A)

=====

(A)
The following is a DFT calculation (PBE) of an optimized crystal structure of Ho3Hg2Pt.

extended XYZ file:
```
12
Lattice="7.3199 -2.9482 0.0000 7.3199 2.9482 0.0000 -2.0639 0.0000 7.5055" Properties=species:S:1:pos:R:3 pbc="T T T"
Ho 5.7720 2.9436 5.6291
Ho 3.3874 0.0019 6.9939
Ho 4.4194 -0.0019 3.2411
Ho 8.1566 0.0019 4.2644
Ho 9.1885 -0.0019 0.5116
Ho 6.8039 -2.9436 1.8764
Hg 1.5006 0.0019 4.4554
Hg 2.5326 -0.0019 0.7026
Hg 10.0434 0.0019 6.8029
Hg 11.0753 -0.0019 3.0502
Pt 6.8039 0.0042 1.8764
Pt 5.7720 -0.0042 5.6291
```

Computed properties:
**V**: 27.00 Å³/atom
**Crystal system**: monoclinic
**Total moment**: 0.00 Bohr magnetons per cell

=====

(B)
The following is a DFT calculation (PBE) of an optimized crystal structure of Ho3Hg2Pt.

extended XYZ file:
```
6
Lattice="3.6099 0.0000 0.0000 0.0000 3.6099 0.0000 0.0000 0.0000 11.0121" Properties=species:S:1:pos:R:3 pbc="T T T"
Ho 0.0000 0.0000 0.0000
Ho 0.0000 0.0000 3.8710
Ho 0.0000 0.0000 7.1411
Hg 1.8049 1.8049 1.8688
Hg 1.8049 1.8049 9.1433
Pt 1.8049 1.8049 5.5061
```

Computed properties:
**V**: 23.92 Å³/atom
**Crystal system**: tetragonal
**Total moment**: 0.00 Bohr magnetons per cell

=====

Stability, lowest: (A)

=====

(A)
The following is a DFT calculation (PBE) of an optimized crystal structure of HoScHgPt.

extended XYZ file:
```
4
Lattice="3.4238 0.0000 0.0000 0.0000 3.4238 0.0000 0.0000 0.0000 7.3404" Properties=species:S:1:pos:R:3 pbc="T T T"
Ho 0.0000 0.0000 0.0000
Sc 0.0000 0.0000 4.0567
Hg 1.7119 1.7119 2.1696
Pt 1.7119 1.7119 5.5180
```

Computed properties:
**V**: 21.51 Å³/atom
**Crystal system**: tetragonal
**Total moment**: 0.00 Bohr magnetons per cell

=====

(B)
The following is a DFT calculation (PBE) of an optimized crystal structure of HoScHgPt.

extended XYZ file:
```
4
Lattice="0.0000 3.5008 3.5008 3.5008 0.0000 3.5008 3.5008 3.5008 0.0000" Properties=species:S:1:pos:R:3 pbc="T T T"
Ho 0.0000 0.0000 0.0000
Sc 3.5008 3.5008 3.5008
Hg 1.7504 1.7504 1.7504
Pt 5.2512 5.2512 5.2512
```

Computed properties:
**V**: 21.45 Å³/atom
**Crystal system**: cubic
**Total moment**: 0.00 Bohr magnetons per cell

=====

Stability, lowest: (B)

=====

(A)
The following is a DFT calculation (PBE) of an optimized crystal structure of HoPuTlHg.

extended XYZ file:
```
4
Lattice="0.0000 3.7761 3.7761 3.7761 0.0000 3.7761 3.7761 3.7761 0.0000" Properties=species:S:1:pos:R:3 pbc="T T T"
Ho 0.0000 0.0000 0.0000
Pu 3.7761 3.7761 3.7761
Tl 5.6642 5.6642 5.6642
Hg 1.8881 1.8881 1.8881
```

Computed properties:
**V**: 26.92 Å³/atom
**Crystal system**: cubic
**Total moment**: 6.36 Bohr magnetons per cell

=====

(B)
The following is a DFT calculation (PBE) of an optimized crystal structure of HoPuTlHg.

extended XYZ file:
```
4
Lattice="3.6708 0.0000 0.0000 0.0000 3.6708 0.0000 0.0000 0.0000 7.9489" Properties=species:S:1:pos:R:3 pbc="T T T"
Ho 0.0000 0.0000 0.0000
Pu 0.0000 0.0000 4.1104
Tl 1.8354 1.8354 1.9756
Hg 1.8354 1.8354 6.1727
```

Computed properties:
**V**: 26.78 Å³/atom
**Crystal system**: tetragonal
**Total moment**: 6.01 Bohr magnetons per cell

=====

Stability, lowest: (A)

=====

(A)
The following is a DFT calculation (PBE) of an optimized crystal structure of Ho6HgRh2.

extended XYZ file:
```
9
Lattice="5.1030 -2.4808 0.0000 5.1030 2.4808 0.0000 -1.8289 0.0000 8.9369" Properties=species:S:1:pos:R:3 pbc="T T T"
Ho -0.2514 0.0000 3.0562
Ho 1.6497 0.0000 5.9391
Ho 3.3136 0.0000 0.9827
Ho 5.0635 0.0000 7.9541
Ho 6.7274 0.0000 2.9978
Ho 8.6285 0.0000 5.8807
Hg 0.0000 0.0000 0.0000
Rh 3.0911 0.0000 3.5948
Rh 5.2860 0.0000 5.3421
```

Computed properties:
**V**: 25.14 Å³/atom
**Crystal system**: monoclinic
**Total moment**: 0.00 Bohr magnetons per cell

=====

(B)
The following is a DFT calculation (PBE) of an optimized crystal structure of Ho6HgRh2.

extended XYZ file:
```
18
Lattice="-4.6508 4.7741 5.1509 4.6508 -4.7741 5.1509 4.6508 4.7741 -5.1509" Properties=species:S:1:pos:R:3 pbc="T T T"
Ho 4.6508 2.8782 -2.6895
Ho 2.6564 1.7257 0.0000
Ho 6.6453 1.7257 0.0000
Ho 1.8019 4.7741 -1.7574
Ho 2.8489 0.0000 3.3935
Ho 0.0000 1.8958 2.4614
Ho 4.6508 2.8782 2.6895
Ho 1.8019 4.7741 1.7574
Ho 2.8489 0.0000 6.9083
Ho -1.9944 3.0483 5.1509
Ho 1.9944 3.0483 5.1509
Ho 0.0000 1.8958 7.8404
Hg 0.0000 0.0000 0.0000
Hg 0.0000 0.0000 5.1509
Rh 4.6508 0.0000 1.3610
Rh 0.0000 3.2084 0.0000
Rh 0.0000 6.3398 0.0000
Rh 0.0000 4.7741 3.7899
```

Computed properties:
**V**: 25.41 Å³/atom
**Crystal system**: orthorhombic
**Total moment**: 0.00 Bohr magnetons per cell

=====

Stability, lowest: (A)

=====

(A)
The following is a DFT calculation (PBE) of an optimized crystal structure of HoScHgRh.

extended XYZ file:
```
4
Lattice="3.3933 0.0000 0.0000 0.0000 3.3933 0.0000 0.0000 0.0000 7.2840" Properties=species:S:1:pos:R:3 pbc="T T T"
Ho 0.0000 0.0000 0.0000
Sc 0.0000 0.0000 4.0724
Hg 1.6967 1.6967 2.1842
Rh 1.6967 1.6967 5.5433
```

Computed properties:
**V**: 20.97 Å³/atom
**Crystal system**: tetragonal
**Total moment**: 0.00 Bohr magnetons per cell

=====

(B)
The following is a DFT calculation (PBE) of an optimized crystal structure of HoScHgRh.

extended XYZ file:
```
4
Lattice="0.0000 3.4706 3.4706 3.4706 0.0000 3.4706 3.4706 3.4706 0.0000" Properties=species:S:1:pos:R:3 pbc="T T T"
Ho 0.0000 0.0000 0.0000
Sc 3.4706 3.4706 3.4706
Hg 1.7353 1.7353 1.7353
Rh 5.2059 5.2059 5.2059
```

Computed properties:
**V**: 20.90 Å³/atom
**Crystal system**: cubic
**Total moment**: 0.00 Bohr magnetons per cell

=====

Stability, lowest: (B)

=====

(A)
The following is a DFT calculation (PBE) of an optimized crystal structure of TbHoHgRh.

extended XYZ file:
```
4
Lattice="0.0000 3.5706 3.5706 3.5706 0.0000 3.5706 3.5706 3.5706 0.0000" Properties=species:S:1:pos:R:3 pbc="T T T"
Tb 0.0000 0.0000 0.0000
Ho 3.5706 3.5706 3.5706
Hg 1.7853 1.7853 1.7853
Rh 5.3558 5.3558 5.3558
```

Computed properties:
**V**: 22.76 Å³/atom
**Crystal system**: cubic
**Total moment**: 0.00 Bohr magnetons per cell

=====

(B)
The following is a DFT calculation (PBE) of an optimized crystal structure of TbHoHgRh.

extended XYZ file:
```
4
Lattice="3.4990 0.0000 0.0000 0.0000 3.4990 0.0000 0.0000 0.0000 7.5044" Properties=species:S:1:pos:R:3 pbc="T T T"
Tb 0.0000 0.0000 0.0000
Ho 0.0000 0.0000 4.1962
Hg 1.7495 1.7495 2.1257
Rh 1.7495 1.7495 5.8234
```

Computed properties:
**V**: 22.97 Å³/atom
**Crystal system**: tetragonal
**Total moment**: 0.00 Bohr magnetons per cell

=====

Stability, lowest: (A)

=====

(A)
The following is a DFT calculation (PBE) of an optimized crystal structure of HoThHgRh.

extended XYZ file:
```
4
Lattice="0.0000 3.6420 3.6420 3.6420 0.0000 3.6420 3.6420 3.6420 0.0000" Properties=species:S:1:pos:R:3 pbc="T T T"
Ho 0.0000 0.0000 0.0000
Th 3.6420 3.6420 3.6420
Hg 1.8210 1.8210 1.8210
Rh 5.4630 5.4630 5.4630
```

Computed properties:
**V**: 24.15 Å³/atom
**Crystal system**: cubic
**Total moment**: 0.00 Bohr magnetons per cell

=====

(B)
The following is a DFT calculation (PBE) of an optimized crystal structure of HoThHgRh.

extended XYZ file:
```
4
Lattice="2.0353 1.1751 7.5845 -2.0353 1.1751 7.5845 0.0000 -2.3502 7.5845" Properties=species:S:1:pos:R:3 pbc="T T T"
Ho 0.0000 0.0000 0.0000
Th 0.0000 0.0000 4.4930
Hg 0.0000 0.0000 17.3064
Rh 0.0000 0.0000 13.6025
```

Computed properties:
**V**: 27.20 Å³/atom
**Crystal system**: trigonal
**Total moment**: 0.00 Bohr magnetons per cell

=====

Stability, lowest: (A)

=====

(A)
The following is a DFT calculation (PBE) of an optimized crystal structure of Ho2HgRu.

extended XYZ file:
```
4
Lattice="1.8471 1.0664 8.3292 -1.8471 1.0664 8.3292 0.0000 -2.1329 8.3292" Properties=species:S:1:pos:R:3 pbc="T T T"
Ho 0.0000 0.0000 5.9204
Ho 0.0000 0.0000 19.0672
Hg 0.0000 0.0000 0.0000
Ru 0.0000 0.0000 12.4938
```

Computed properties:
**V**: 24.61 Å³/atom
**Crystal system**: trigonal
**Total moment**: 0.00 Bohr magnetons per cell

=====

(B)
The following is a DFT calculation (PBE) of an optimized crystal structure of Ho2HgRu.

extended XYZ file:
```
4
Lattice="0.0000 3.5399 3.5399 3.5399 0.0000 3.5399 3.5399 3.5399 0.0000" Properties=species:S:1:pos:R:3 pbc="T T T"
Ho 1.7700 1.7700 1.7700
Ho 5.3099 5.3099 5.3099
Hg 0.0000 0.0000 0.0000
Ru 3.5399 3.5399 3.5399
```

Computed properties:
**V**: 22.18 Å³/atom
**Crystal system**: cubic
**Total moment**: 0.00 Bohr magnetons per cell

=====

Stability, lowest: (A)

=====

(A)
The following is a DFT calculation (PBE) of an optimized crystal structure of SmHoHgRu.

extended XYZ file:
```
4
Lattice="0.0000 3.5849 3.5849 3.5849 0.0000 3.5849 3.5849 3.5849 0.0000" Properties=species:S:1:pos:R:3 pbc="T T T"
Sm 0.0000 0.0000 0.0000
Ho 3.5849 3.5849 3.5849
Hg 1.7925 1.7925 1.7925
Ru 5.3774 5.3774 5.3774
```

Computed properties:
**V**: 23.04 Å³/atom
**Crystal system**: cubic
**Total moment**: 0.00 Bohr magnetons per cell

=====

(B)
The following is a DFT calculation (PBE) of an optimized crystal structure of SmHoHgRu.

extended XYZ file:
```
4
Lattice="3.5016 0.0000 0.0000 0.0000 3.5016 0.0000 0.0000 0.0000 7.6009" Properties=species:S:1:pos:R:3 pbc="T T T"
Sm 0.0000 0.0000 0.0000
Ho 0.0000 0.0000 4.2553
Hg 1.7508 1.7508 2.2126
Ru 1.7508 1.7508 5.8655
```

Computed properties:
**V**: 23.30 Å³/atom
**Crystal system**: tetragonal
**Total moment**: 0.00 Bohr magnetons per cell

=====

Stability, lowest: (A)